Here is crystalline PmScAg6 at its relaxed geometry from Alexandria via LeMat-Bulk. Energies are from PBE.

## Properties
- DFT formation energy: -172 meV per atom
- Magnetization: 0.0 μB/cell

abc: 4.4756 5.1277 8.1769
angles: 80.57 74.12 64.13
Fractional positions:
Pm (0.0000, 0.5000, 0.5000)
Sc (0.0000, 0.0000, 0.0000)
Ag (0.2447, 0.8653, 0.6453)
Ag (0.5076, 0.2287, 0.7561)
Ag (0.2536, 0.3803, 0.1126)
Ag (0.4924, 0.7713, 0.2439)
Ag (0.7553, 0.1347, 0.3547)
Ag (0.7464, 0.6197, 0.8874)